Density functional theory data (PBE) for an optimized crystal structure of KBeSb2I.

Cell: 6.304 6.304 6.281 Å, 90.00 90.00 90.00°
Space group P4/mmm (No. 123)
One atom of each set of equivalent atoms:
K  0.000  0.000  0.000 (multiplicity 1)
Be  0.500  0.500  0.500 (multiplicity 1)
Sb  0.000  0.500  0.000 (multiplicity 2)
I  0.000  0.000  0.500 (multiplicity 1)

Properties
DOS at the Fermi energy in states/eV per atom: 1.455
ΔE_f (raw) in eV per atom: 1.40
Offset from the most stable computed form in meV per atom: 1443